(1)
Entry from the Alexandria database: an optimized crystal structure of ScAg3Pd (PBE-GGA).

Symmetry: No. 221

Cell: 5.011 5.011 5.011 Å, 90.00 90.00 90.00°
Fractional positions:
Sc: 0.000 0.000 0.000
Ag: 0.000 0.000 0.500
Ag: 0.000 0.500 0.000
Ag: 0.500 0.000 0.000
Pd: 0.500 0.500 0.500

***

(2)
Entry from the Alexandria database: an optimized crystal structure of ScAg3Pd (PBE-GGA).

Symmetry: No. 221

Cell: 4.994 4.994 4.994 Å, 90.00 90.00 90.00°
Fractional positions:
Sc: 0.000 0.000 0.000
Ag: 0.000 0.500 0.500
Ag: 0.500 0.000 0.500
Ag: 0.500 0.500 0.000
Pd: 0.500 0.500 0.500

***

Stability, highest: (2)

***

(1)
Entry from the Alexandria database: an optimized crystal structure of TmScAgPd (PBE-GGA).

Symmetry: No. 99

Cell: 3.436 3.436 6.966 Å, 90.00 90.00 90.00°
Fractional positions:
Tm: 0.000 0.000 0.000
Sc: 0.000 0.000 0.480
Ag: 0.500 0.500 0.722
Pd: 0.500 0.500 0.255

***

(2)
Entry from the Alexandria database: an optimized crystal structure of TmScAgPd (PBE-GGA).

Symmetry: No. 216

Cell: 6.900 6.900 6.900 Å, 90.00 90.00 90.00°
Fractional positions:
Tm: 0.000 0.000 0.000
Tm: 0.000 0.500 0.500
Tm: 0.500 0.000 0.500
Tm: 0.500 0.500 0.000
Sc: 0.000 0.000 0.500
Sc: 0.000 0.500 0.000
Sc: 0.500 0.000 0.000
Sc: 0.500 0.500 0.500
Ag: 0.250 0.250 0.250
Ag: 0.250 0.750 0.750
Ag: 0.750 0.250 0.750
Ag: 0.750 0.750 0.250
Pd: 0.250 0.250 0.750
Pd: 0.250 0.750 0.250
Pd: 0.750 0.250 0.250
Pd: 0.750 0.750 0.750

***

Stability, highest: (1)

***

(1)
Entry from the Alexandria database: an optimized crystal structure of YScAgPd (PBE-GGA).

Symmetry: No. 99

Cell: 3.458 3.458 7.047 Å, 90.00 90.00 90.00°
Fractional positions:
Y: 0.000 0.000 0.000
Sc: 0.000 0.000 0.520
Ag: 0.500 0.500 0.284
Pd: 0.500 0.500 0.735

***

(2)
Entry from the Alexandria database: an optimized crystal structure of YScAgPd (PBE-GGA).

Symmetry: No. 216

Cell: 6.962 6.962 6.962 Å, 90.00 90.00 90.00°
Fractional positions:
Y: 0.000 0.000 0.000
Y: 0.000 0.500 0.500
Y: 0.500 0.000 0.500
Y: 0.500 0.500 0.000
Sc: 0.000 0.000 0.500
Sc: 0.000 0.500 0.000
Sc: 0.500 0.000 0.000
Sc: 0.500 0.500 0.500
Ag: 0.250 0.250 0.750
Ag: 0.250 0.750 0.250
Ag: 0.750 0.250 0.250
Ag: 0.750 0.750 0.750
Pd: 0.250 0.250 0.250
Pd: 0.250 0.750 0.750
Pd: 0.750 0.250 0.750
Pd: 0.750 0.750 0.250

***

Stability, highest: (1)

***

(1)
Entry from the Alexandria database: an optimized crystal structure of AgPdSe (PBE-GGA).

Symmetry: No. 14

Cell: 6.288 7.286 5.144 Å, 90.00 93.98 90.00°
Fractional positions:
Ag: 0.169 0.133 0.228
Ag: 0.169 0.367 0.728
Ag: 0.831 0.633 0.272
Ag: 0.831 0.867 0.772
Pd: 0.464 0.668 0.623
Pd: 0.464 0.832 0.123
Pd: 0.536 0.168 0.877
Pd: 0.536 0.332 0.377
Se: 0.241 0.557 0.217
Se: 0.241 0.943 0.717
Se: 0.759 0.057 0.283
Se: 0.759 0.443 0.783

***

(2)
Entry from the Alexandria database: an optimized crystal structure of AgPdSe (PBE-GGA).

Symmetry: No. 187

Cell: 4.337 4.337 3.460 Å, 90.00 90.00 120.00°
Fractional positions:
Ag: 0.000 0.000 0.000
Pd: 0.667 0.333 0.500
Se: 0.333 0.667 0.500

***

(3)
Entry from the Alexandria database: an optimized crystal structure of AgPdSe (PBE-GGA).

Symmetry: No. 216

Cell: 6.236 6.236 6.236 Å, 90.00 90.00 90.00°
Fractional positions:
Ag: 0.000 0.000 0.000
Ag: 0.000 0.500 0.500
Ag: 0.500 0.000 0.500
Ag: 0.500 0.500 0.000
Pd: 0.250 0.250 0.750
Pd: 0.250 0.750 0.250
Pd: 0.750 0.250 0.250
Pd: 0.750 0.750 0.750
Se: 0.000 0.000 0.500
Se: 0.000 0.500 0.000
Se: 0.500 0.000 0.000
Se: 0.500 0.500 0.500

***

(4)
Entry from the Alexandria database: an optimized crystal structure of AgPdSe (PBE-GGA).

Symmetry: No. 107

Cell: 3.548 3.548 9.145 Å, 90.00 90.00 90.00°
Fractional positions:
Ag: 0.000 0.000 0.000
Ag: 0.500 0.500 0.500
Pd: 0.000 0.000 0.300
Pd: 0.500 0.500 0.800
Se: 0.000 0.000 0.717
Se: 0.500 0.500 0.217

***

Stability, highest: (1)